{
  "formula": "KZrTc2",
  "functional": "SCAN",
  "state": "PBEsol geometry",
  "lattice": [[3.037, 0.000, 0.000], [0.000, 4.297, 0.000], [-0.119, 0.000, 7.482]],
  "species": ["K", "Zr", "Tc", "Tc"],
  "frac_coords": [[0.000, 0.000, 0.000], [0.000, 0.000, 0.500], [0.494, 0.500, 0.355], [0.506, 0.500, 0.645]],
  "de_polymorph_ev_per_atom": 0.077,
  "rho_g_cm3": 5.55
}

{
  "formula": "KZrTc",
  "functional": "SCAN",
  "state": "PBEsol geometry",
  "lattice": [[2.889, 0.000, 0.000], [-1.444, 2.502, 0.000], [0.000, 0.000, 8.788]],
  "species": ["K", "Zr", "Tc"],
  "frac_coords": [[0.000, 0.000, 0.000], [0.667, 0.333, 0.397], [0.333, 0.667, 0.674]],
  "e_tot_ev_per_atom": -23.73,
  "rho_g_cm3": 5.97
}

{
  "formula": "KZrTc2",
  "functional": "SCAN",
  "state": "PBEsol geometry",
  "lattice": [[1.583, -2.355, 0.000], [1.583, 2.355, 0.000], [0.000, 0.000, 10.567]],
  "species": ["K", "Zr", "Tc", "Tc"],
  "frac_coords": [[0.000, 0.000, 0.000], [0.500, 0.500, 0.668], [0.000, 0.000, 0.457], [0.500, 0.500, 0.273]],
  "de_polymorph_ev_per_atom": 0.217,
  "rho_g_cm3": 6.88
}

{
  "formula": "KTe2",
  "functional": "SCAN",
  "state": "PBEsol geometry",
  "lattice": [[5.613, -2.826, 0.000], [5.613, 2.826, 0.000], [-1.643, 0.000, 7.620]],
  "species": ["K", "K", "Te", "Te", "Te", "Te"],
  "frac_coords": [[0.077, 0.077, 0.296], [0.923, 0.923, 0.704], [0.285, 0.285, 0.986], [0.389, 0.389, 0.352], [0.611, 0.611, 0.648], [0.715, 0.715, 0.014]],
  "e_form_raw_ev_per_atom": -0.6449,
  "de_polymorph_ev_per_atom": 0.011,
  "rho_g_cm3": 4.04
}

{
  "formula": "KTe2",
  "functional": "SCAN",
  "state": "PBEsol geometry",
  "lattice": [[5.930, -2.193, 0.000], [5.930, 2.193, 0.000], [-4.908, 0.000, 8.696]],
  "species": ["K", "K", "Te", "Te", "Te", "Te"],
  "frac_coords": [[0.000, 0.000, 0.000], [0.246, 0.246, 0.601], [0.291, 0.291, 0.043], [0.643, 0.643, 0.809], [0.673, 0.673, 0.308], [0.899, 0.899, 0.289]],
  "e_form_raw_ev_per_atom": -0.6106,
  "de_polymorph_ev_per_atom": 0.045,
  "rho_g_cm3": 4.32
}

{
  "formula": "KTe",
  "functional": "SCAN",
  "state": "PBEsol geometry",
  "lattice": [[1.781, 1.028, 13.271], [-1.781, 1.028, 13.271], [0.000, -2.057, 13.271]],
  "species": ["K", "K", "Te", "Te"],
  "frac_coords": [[0.113, 0.113, 0.113], [0.887, 0.887, 0.887], [0.379, 0.379, 0.379], [0.621, 0.621, 0.621]],
  "e_form_raw_ev_per_atom": -0.0412,
  "rho_g_cm3": 3.80
}

{
  "formula": "KTe",
  "functional": "SCAN",
  "state": "PBEsol geometry",
  "lattice": [[9.520, 0.000, 0.000], [-4.760, 8.244, 0.000], [0.000, 0.000, 6.238]],
  "species": ["K", "K", "K", "K", "K", "K", "Te", "Te", "Te", "Te", "Te", "Te"],
  "frac_coords": [[0.000, 0.325, 0.000], [0.000, 0.658, 0.500], [0.325, 0.000, 0.000], [0.342, 0.342, 0.500], [0.658, 0.000, 0.500], [0.675, 0.675, 0.000], [0.000, 0.000, 0.274], [0.000, 0.000, 0.726], [0.333, 0.667, 0.228], [0.333, 0.667, 0.772], [0.667, 0.333, 0.228], [0.667, 0.333, 0.772]],
  "e_form_raw_ev_per_atom": -0.9791,
  "rho_g_cm3": 3.39
}

{
  "formula": "K2Te3",
  "functional": "SCAN",
  "state": "PBEsol geometry",
  "lattice": [[16.365, 0.000, 0.000], [0.000, 10.117, 0.000], [0.000, 0.000, 4.301]],
  "species": ["K", "K", "K", "K", "K", "K", "K", "K", "Te", "Te", "Te", "Te", "Te", "Te", "Te", "Te", "Te", "Te", "Te", "Te"],
  "frac_coords": [[0.125, 0.035, 0.248], [0.125, 0.465, 0.248], [0.375, 0.535, 0.748], [0.375, 0.965, 0.748], [0.625, 0.035, 0.252], [0.625, 0.465, 0.252], [0.875, 0.535, 0.752], [0.875, 0.965, 0.752], [0.007, 0.250, 0.732], [0.125, 0.750, 0.745], [0.243, 0.250, 0.767], [0.257, 0.750, 0.267], [0.375, 0.250, 0.245], [0.493, 0.750, 0.232], [0.507, 0.250, 0.768], [0.625, 0.750, 0.755], [0.743, 0.250, 0.733], [0.757, 0.750, 0.233], [0.875, 0.250, 0.255], [0.993, 0.750, 0.268]],
  "e_form_raw_ev_per_atom": -0.8373,
  "rho_g_cm3": 4.30
}